# 1
VASP calculation (meta-GGA SCAN) on a crystal of La5Ir3 relaxed with PBEsol.

Cell: 6.153 8.554 8.554 Å, 82.57 68.92 68.92°
Element x y z (fractional)
Ir  0.844  0.500  0.813
La  0.250  0.500  0.500
La  0.587  0.701  0.124
La  0.413  0.299  0.876
Ir  0.656  0.187  0.500
Ir  0.250  0.000  0.000
Ir  0.156  0.500  0.187
La  0.289  0.124  0.299
La  0.087  0.124  0.701
La  0.789  0.299  0.124
La  0.750  0.500  0.500
La  0.913  0.876  0.299
La  0.211  0.701  0.876
La  0.711  0.876  0.701
Ir  0.344  0.813  0.500
Ir  0.750  0.000  0.000

* formation energy: -726 meV per atom
* space-group type: I4/mcm (140)

=====

# 2
VASP calculation (meta-GGA SCAN) on a crystal of La3Ir2 relaxed with PBEsol.

Cell: 7.625 7.625 7.625 Å, 70.50 70.50 70.50°
Element x y z (fractional)
La  0.198  0.198  0.198
Ir  0.588  0.955  0.169
Ir  0.412  0.045  0.831
Ir  0.955  0.169  0.588
La  0.845  0.604  0.331
La  0.604  0.331  0.845
La  0.000  0.000  0.000
Ir  0.831  0.412  0.045
La  0.669  0.155  0.396
Ir  0.045  0.831  0.412
La  0.331  0.845  0.604
Ir  0.169  0.588  0.955
La  0.802  0.802  0.802
La  0.396  0.669  0.155
La  0.155  0.396  0.669

* formation energy: -809 meV per atom
* space-group type: R-3 (148)

=====

# 3
VASP calculation (meta-GGA SCAN) on a crystal of La3Ir2 relaxed with PBEsol.

Cell: 4.170 4.170 10.118 Å, 78.11 78.11 60.00°
Element x y z (fractional)
Ir  0.392  0.392  0.825
La  0.773  0.773  0.682
Ir  0.608  0.608  0.175
La  0.227  0.227  0.318
La  0.000  0.000  0.000

* formation energy: -761 meV per atom
* space-group type: R-3m (166)

=====

# 4
VASP calculation (meta-GGA SCAN) on a crystal of La3Ir4 relaxed with PBEsol.

Cell: 4.495 6.548 6.548 Å, 120.00 90.00 90.00°
Element x y z (fractional)
La  0.000  0.500  0.500
Ir  0.500  0.667  0.333
La  0.000  0.000  0.500
Ir  0.500  0.333  0.667
Ir  0.251  0.000  0.000
Ir  0.749  0.000  0.000
La  0.000  0.500  0.000

* formation energy: 181 meV per atom
* space-group type: P6/mmm (191)

=====

# 5
VASP calculation (meta-GGA SCAN) on a crystal of La2Ir7 relaxed with PBEsol.

Cell: 5.330 5.330 13.440 Å, 78.56 78.56 60.00°
Element x y z (fractional)
Ir  0.722  0.722  0.834
Ir  0.608  0.608  0.673
La  0.051  0.051  0.848
La  0.949  0.949  0.152
Ir  0.612  0.612  0.165
Ir  0.392  0.392  0.327
Ir  0.110  0.608  0.673
Ir  0.278  0.278  0.166
Ir  0.608  0.110  0.673
Ir  0.000  0.500  0.000
Ir  0.500  0.500  0.000
Ir  0.500  0.000  0.000
Ir  0.388  0.388  0.835
Ir  0.890  0.392  0.327
La  0.852  0.852  0.444
Ir  0.500  0.500  0.500
La  0.148  0.148  0.556
Ir  0.392  0.890  0.327

* formation energy: -550 meV per atom
* space-group type: R-3m (166)

=====

# 6
VASP calculation (meta-GGA SCAN) on a crystal of La3Ir2 relaxed with PBEsol.

Cell: 6.164 6.164 8.212 Å, 100.61 100.61 120.62°
Element x y z (fractional)
Ir  0.712  0.827  0.249
La  0.562  0.062  0.500
La  0.613  0.953  0.918
La  0.312  0.312  0.000
Ir  0.713  0.327  0.251
Ir  0.077  0.462  0.749
La  0.203  0.363  0.418
La  0.946  0.786  0.582
Ir  0.577  0.463  0.751
La  0.036  0.696  0.082

* formation energy: -716 meV per atom
* space-group type: Fdd2 (43)

=====

# 7
VASP calculation (meta-GGA SCAN) on a crystal of La3Ir2 relaxed with PBEsol.

Cell: 4.872 4.872 6.297 Å, 90.00 90.00 120.00°
Element x y z (fractional)
Ir  0.667  0.333  0.174
La  0.667  0.333  0.662
La  0.333  0.667  0.338
La  0.000  0.000  0.000
Ir  0.333  0.667  0.826

* formation energy: -783 meV per atom
* space-group type: P-3m1 (164)

=====

# 8
VASP calculation (meta-GGA SCAN) on a crystal of Li2LaIr2 relaxed with PBEsol.

Cell: 2.862 7.445 7.445 Å, 90.00 90.00 90.00°
Element x y z (fractional)
Ir  0.500  0.313  0.187
Ir  0.500  0.687  0.813
La  0.000  0.500  0.500
Li  0.000  0.108  0.392
Li  0.000  0.608  0.108
Li  0.000  0.892  0.608
Ir  0.500  0.813  0.313
Li  0.000  0.392  0.892
Ir  0.500  0.187  0.687
La  0.000  0.000  0.000

* formation energy: -169 meV per atom
* space-group type: P4/mbm (127)